[1]
CaGe3B: optimized geometry, PBE.

Output
* calculated formation energy: 327 meV per atom
* raw total energy: -20.894 eV for the cell shown
* DOS at the Fermi energy: 1.79 states/eV/f.u.

```
data_CaGe3B
_chemical_formula_sum 'Ca1 Ge3 B1'
_cell_length_a 4.5781
_cell_length_b 4.5781
_cell_length_c 4.5781
_cell_angle_alpha 90.00
_cell_angle_beta 90.00
_cell_angle_gamma 90.00
_space_group_name_H-M_alt 'P 1'
_space_group_IT_number 1
loop_
_space_group_symop_operation_xyz
'x,y,z'
loop_
_atom_site_label
_atom_site_fract_x
_atom_site_fract_y
_atom_site_fract_z
Ca1 0.0000 0.0000 0.0000
Ge1 0.0000 0.5000 0.5000
Ge2 0.5000 0.0000 0.5000
Ge3 0.5000 0.5000 0.0000
B1 0.5000 0.5000 0.5000
```


[2]
CaGe3B: optimized geometry, PBE.

Output
* calculated formation energy: 1874 meV per atom
* raw total energy: -13.161 eV for the cell shown
* DOS at the Fermi energy: 4.16 states/eV/f.u.

```
data_CaGe3B
_chemical_formula_sum 'Ca1 Ge3 B1'
_cell_length_a 5.3757
_cell_length_b 5.3757
_cell_length_c 5.3757
_cell_angle_alpha 90.00
_cell_angle_beta 90.00
_cell_angle_gamma 90.00
_space_group_name_H-M_alt 'P 1'
_space_group_IT_number 1
loop_
_space_group_symop_operation_xyz
'x,y,z'
loop_
_atom_site_label
_atom_site_fract_x
_atom_site_fract_y
_atom_site_fract_z
Ca1 0.0000 0.0000 0.0000
Ge1 0.0000 0.0000 0.5000
Ge2 0.0000 0.5000 0.0000
Ge3 0.5000 0.0000 0.0000
B1 0.5000 0.5000 0.5000
```


[3]
Ca3GeB: optimized geometry, PBE.

Output
* calculated formation energy: 158 meV per atom
* raw total energy: -16.508 eV for the cell shown
* DOS at the Fermi energy: 5.41 states/eV/f.u.

```
data_Ca3GeB
_chemical_formula_sum 'Ca3 Ge1 B1'
_cell_length_a 5.1401
_cell_length_b 5.1401
_cell_length_c 5.1401
_cell_angle_alpha 90.00
_cell_angle_beta 90.00
_cell_angle_gamma 90.00
_space_group_name_H-M_alt 'P 1'
_space_group_IT_number 1
loop_
_space_group_symop_operation_xyz
'x,y,z'
loop_
_atom_site_label
_atom_site_fract_x
_atom_site_fract_y
_atom_site_fract_z
Ca1 0.0000 0.0000 0.5000
Ca2 0.0000 0.5000 0.0000
Ca3 0.5000 0.0000 0.0000
Ge1 0.5000 0.5000 0.5000
B1 0.0000 0.0000 0.0000
```